The following is a DFT calculation (GGA-PBE) of ScTe2Au after structural relaxation.

Unit cell a=8.7520 b=7.0976 c=8.8444 alpha=90.00 beta=117.89 gamma=90.00
Atoms (fractional coordinates):
Sc 0.0415 0.0408 0.3165
Sc 0.0415 0.4592 0.8165
Sc 0.9585 0.5408 0.1835
Sc 0.9585 0.9592 0.6835
Te 0.2155 0.2161 0.6640
Te 0.2155 0.2839 0.1640
Te 0.3081 0.7462 0.8983
Te 0.3081 0.7538 0.3983
Te 0.6919 0.2462 0.6017
Te 0.6919 0.2538 0.1017
Te 0.7845 0.7161 0.8360
Te 0.7845 0.7839 0.3360
Au 0.1142 0.6562 0.5617
Au 0.1142 0.8438 0.0617
Au 0.8858 0.1562 0.9383
Au 0.8858 0.3438 0.4383

## Properties
The space group is P2_1/c. The calculation puts the energy relative to the elements, uncorrected at -294 kJ/mol of formula units.